Record 1
# Mn8O13F3

A geometry-optimized Mn8O13F3 structure (PBE with a Hubbard U, Alexandria).

Lattice parameters (Å, degrees): 5.530 6.704 6.741 95.76 91.54 91.34
Each line ends with the local moment (μB).
Positions (direct):
1 Mn 0.642 0.374 0.140  3.39
2 Mn 0.362 0.114 0.375  3.43
3 Mn 0.830 0.880 0.132  3.76
4 Mn 0.849 0.374 0.620  3.91
5 Mn 0.140 0.140 0.875  3.48
6 Mn 0.148 0.639 0.372  3.45
7 Mn 0.346 0.625 0.875  3.92
8 Mn 0.645 0.873 0.630  3.42
9 O 0.885 0.159 0.081  -0.23
10 O 0.391 0.167 0.095  -0.16
11 O 0.610 0.325 0.406  -0.14
12 O 0.388 0.575 0.156  -0.18
13 O 0.393 0.078 0.656  -0.20
14 O 0.892 0.093 0.668  -0.16
15 O 0.887 0.595 0.171  -0.19
16 O 0.114 0.405 0.820  -0.12
17 O 0.895 0.656 0.573  -0.20
18 O 0.113 0.907 0.323  -0.15
19 O 0.605 0.921 0.354  -0.21
20 O 0.391 0.668 0.591  -0.18
21 O 0.614 0.820 0.903  -0.12
22 F 0.132 0.343 0.407  0.02
23 F 0.621 0.408 0.859  0.04
24 F 0.109 0.859 0.918  0.02

Values from the calculation:
ΔE to the lowest computed polymorph (meV per atom): 26
M_tot (μB/f.u.): 27.00
N(E_F) (states/eV/cell): 3.827

---

Record 2
# Mn3O4F2

A geometry-optimized Mn3O4F2 structure (PBE with a Hubbard U, Alexandria).

Lattice parameters (Å, degrees): 4.624 4.568 9.310 90.01 90.00 90.00
Each line ends with the local moment (μB).
Positions (direct):
1 Mn 0.031 0.005 0.007  3.75
2 Mn 0.031 0.005 0.327  3.75
3 Mn 0.000 0.977 0.667  4.01
4 Mn 0.469 0.505 0.827  3.75
5 Mn 0.500 0.477 0.167  4.01
6 Mn 0.469 0.505 0.507  3.75
7 O 0.218 0.801 0.167  -0.23
8 O 0.188 0.809 0.494  -0.18
9 O 0.188 0.809 0.839  -0.18
10 O 0.312 0.309 0.994  -0.18
11 O 0.312 0.309 0.339  -0.18
12 O 0.282 0.301 0.667  -0.23
13 O 0.674 0.691 0.667  -0.13
14 O 0.826 0.191 0.167  -0.13
15 F 0.707 0.701 0.996  0.00
16 F 0.707 0.701 0.337  0.00
17 F 0.793 0.201 0.496  0.00
18 F 0.793 0.201 0.837  0.00

Values from the calculation:
ΔE to the lowest computed polymorph (meV per atom): 23
M_tot (μB/f.u.): 11.00
N(E_F) (states/eV/cell): 3.363

---

Record 3
# MnO2F

A geometry-optimized MnO2F structure (PBE with a Hubbard U, Alexandria).

Lattice parameters (Å, degrees): 5.505 5.505 5.267 58.49 58.49 90.00
Each line ends with the local moment (μB).
Positions (direct):
1 Mn 0.000 0.000 0.000  3.33
2 Mn 0.750 0.250 0.500  3.34
3 O 0.739 0.125 0.250  -0.39
4 O 0.011 0.625 0.250  -0.37
5 O 0.375 0.261 0.750  -0.40
6 O 0.875 0.989 0.750  -0.38
7 F 0.500 0.500 0.000  -0.53
8 F 0.250 0.750 0.500  -0.51

Values from the calculation:
M_tot (μB/f.u.): 2.00
N(E_F) (states/eV/cell): 3.110
Uncorrected energy (eV for the cell shown): -43.67